(1)
This record from Alexandria via LeMat-Bulk describes crystalline NaAcCdAs at its relaxed geometry. The functional is PBE.

Results
ΔH_f (0 K): -43.9 kJ per mole of atoms

```
4
Lattice="-4.316 2.417 -2.220 -5.000 -1.543 1.420 -3.105 3.287 2.993" Properties=species:S:1:pos:R:3 pbc="T T T"
Cd -9.315 3.120 1.644
As -3.105 1.040 0.548
Ac 0.000 0.000 0.000
Na -6.210 2.080 1.096
```


(2)
This record from Alexandria via LeMat-Bulk describes crystalline Ac2CdNi3As4 at its relaxed geometry. The functional is PBE.

Results
ΔH_f (0 K): -67.9 kJ per mole of atoms

```
10
Lattice="-2.549 -2.463 -2.624 -1.882 -1.828 3.545 -7.073 7.307 0.011" Properties=species:S:1:pos:R:3 pbc="T T T"
Ac -2.941 0.490 -1.309
Ac -6.347 4.671 1.781
As -5.891 3.537 -1.305
As 0.000 0.000 0.000
As -2.216 -2.145 0.460
As -3.398 1.624 1.776
Ni -1.677 -0.154 1.773
Ni -3.537 3.653 0.006
Ni -7.612 5.315 -1.302
Cd -5.752 1.508 0.466
```


(3)
This record from Alexandria via LeMat-Bulk describes crystalline AcCdAsO5 at its relaxed geometry. The functional is PBE.

Results
Raw formation energy: -1.923 eV per atom

```
16
Lattice="6.424 0.754 -0.141 -1.154 6.364 -0.141 -2.352 -3.176 7.751" Properties=species:S:1:pos:R:3 pbc="T T T"
As 3.127 1.965 1.796
As -0.209 1.976 5.672
O 3.447 0.781 2.984
O 2.865 3.544 2.508
O 1.378 2.187 6.384
O -1.435 1.936 6.860
O 3.824 -1.009 5.672
O 4.353 2.006 0.608
O 0.053 0.397 4.960
O -0.528 3.161 4.484
O -0.905 4.951 1.796
O 1.540 1.755 1.085
Ac -1.176 -1.588 3.876
Ac 0.000 0.000 0.000
Cd 0.734 3.737 1.796
Cd 2.184 0.205 5.672
```


(4)
This record from Alexandria via LeMat-Bulk describes crystalline AcCdAsO at its relaxed geometry. The functional is PBE.

Results
Raw formation energy: -1.806 eV per atom

```
8
Lattice="4.343 0.000 0.000 0.000 4.343 0.000 0.000 0.000 9.532" Properties=species:S:1:pos:R:3 pbc="T T T"
Ac 2.172 0.000 6.002
Ac 0.000 2.172 3.531
Cd 2.172 2.172 0.000
Cd 0.000 0.000 0.000
O 0.000 0.000 4.766
O 2.172 2.172 4.766
As 2.172 0.000 1.768
As 0.000 2.172 7.764
```


(5)
This record from Alexandria via LeMat-Bulk describes crystalline Ac2CdAsO5 at its relaxed geometry. The functional is PBE.

Results
Raw formation energy: -1.947 eV per atom

```
18
Lattice="-3.602 -4.516 -4.653 5.702 -4.741 0.186 -3.498 1.863 6.812" Properties=species:S:1:pos:R:3 pbc="T T T"
O 2.504 -4.257 0.672
O -0.178 -4.410 2.896
O -1.638 -6.391 -2.832
O 1.050 -4.628 -2.233
O 0.239 -1.002 5.177
O -3.486 0.273 3.955
O -1.221 -2.983 -0.551
O 2.087 -7.666 -1.610
O 0.000 0.000 0.000
O -3.903 -3.136 1.674
As 1.627 -3.753 2.382
As -3.025 -3.640 -0.037
Ac 3.517 -5.305 -1.323
Ac -1.417 -3.951 -3.144
Ac 1.149 -2.329 -0.792
Ac 0.951 -6.927 -3.675
Cd -1.224 -1.382 2.289
Cd -0.174 -6.011 0.056
```


(6)
This record from Alexandria via LeMat-Bulk describes crystalline AcCdAsPd at its relaxed geometry. The functional is PBE.

Results
ΔH_f (0 K): -52.2 kJ per mole of atoms

```
4
Lattice="5.148 0.000 0.000 2.574 4.458 0.000 2.574 1.486 4.203" Properties=species:S:1:pos:R:3 pbc="T T T"
As 5.148 2.972 2.102
Ac 2.574 1.486 1.051
Cd 7.722 4.458 3.152
Pd 0.000 0.000 0.000
```


(7)
This record from Alexandria via LeMat-Bulk describes crystalline Ac2CdAs4Pd3 at its relaxed geometry. The functional is PBE.

Results
ΔH_f (0 K): -79.8 kJ per mole of atoms

```
10
Lattice="4.559 0.000 0.000 0.000 4.559 0.000 0.000 0.000 10.508" Properties=species:S:1:pos:R:3 pbc="T T T"
Cd 2.280 2.280 5.254
Pd 2.280 0.000 9.331
Pd 0.000 0.000 5.254
Pd 0.000 2.280 1.177
Ac 0.000 2.280 8.026
Ac 2.280 0.000 2.482
As 0.000 2.280 3.717
As 2.280 2.280 0.000
As 0.000 0.000 0.000
As 2.280 0.000 6.791
```


(8)
This record from Alexandria via LeMat-Bulk describes crystalline Ac2CdAsPd6 at its relaxed geometry. The functional is PBE.

Results
ΔH_f (0 K): -64.3 kJ per mole of atoms

```
10
Lattice="-2.524 3.913 -3.177 2.292 -4.410 -7.250 -3.833 -2.721 -5.306" Properties=species:S:1:pos:R:3 pbc="T T T"
Pd -3.923 -3.119 -13.227
Pd -1.603 -2.186 -6.417
Pd -2.463 -1.033 -9.316
Pd -2.660 -5.078 -11.635
Pd -1.406 1.859 -4.098
Pd -0.143 -0.100 -2.507
Ac -0.790 -3.802 -9.056
Ac -3.276 0.583 -6.677
Cd -0.116 -0.249 -5.214
As 0.000 0.000 0.000
```


(9)
This record from Alexandria via LeMat-Bulk describes crystalline Ac2CdAs3Pd4 at its relaxed geometry. The functional is PBE.

Results
ΔH_f (0 K): -81.4 kJ per mole of atoms

```
10
Lattice="4.449 0.000 0.000 0.000 4.449 0.000 0.000 0.000 10.813" Properties=species:S:1:pos:R:3 pbc="T T T"
Ac 2.225 0.000 2.547
Ac 0.000 2.225 8.267
As 0.000 0.000 5.407
As 2.225 0.000 9.433
As 0.000 2.225 1.380
Cd 2.225 2.225 5.407
Pd 0.000 2.225 3.868
Pd 2.225 2.225 0.000
Pd 2.225 0.000 6.946
Pd 0.000 0.000 0.000
```


(10)
This record from Alexandria via LeMat-Bulk describes crystalline AcCd2As2Pd7 at its relaxed geometry. The functional is PBE.

Results
ΔH_f (0 K): -35.8 kJ per mole of atoms

```
12
Lattice="-3.788 0.204 1.507 -0.207 -4.075 0.113 3.863 -1.373 14.135" Properties=species:S:1:pos:R:3 pbc="T T T"
Cd 1.872 -1.248 8.639
Cd -2.003 -3.996 7.116
Ac 0.000 0.000 0.000
Pd 0.145 -2.037 6.624
Pd 1.099 -1.284 12.698
Pd -1.997 -1.936 0.810
Pd -3.022 -1.819 3.755
Pd 2.891 -3.425 12.000
Pd -1.231 -3.960 3.057
Pd -0.276 -3.207 9.131
As 0.469 -3.331 11.426
As -0.600 -1.913 4.329
```


(11)
This record from Alexandria via LeMat-Bulk describes crystalline Ac3Cd2As4Pd2 at its relaxed geometry. The functional is PBE.

Results
ΔH_f (0 K): -90.3 kJ per mole of atoms

```
11
Lattice="-1.966 0.448 -4.083 3.798 -2.474 0.439 -8.636 -12.767 2.757" Properties=species:S:1:pos:R:3 pbc="T T T"
Pd 0.726 -3.201 -0.701
Pd -7.530 -11.592 -0.186
Ac -6.403 -9.466 2.044
Ac -2.233 -3.301 0.713
Ac 0.000 0.000 0.000
As -1.436 -6.397 -0.011
As -5.611 -12.570 1.322
As -5.368 -8.396 -0.876
As -1.193 -2.223 -2.209
Cd -3.006 -8.718 0.491
Cd -3.798 -6.075 -1.377
```


(12)
This record from Alexandria via LeMat-Bulk describes crystalline AcCd2AsPt2 at its relaxed geometry. The functional is PBE.

Results
ΔH_f (0 K): -39.2 kJ per mole of atoms

```
6
Lattice="5.273 0.000 0.000 0.000 5.273 0.000 -2.636 -2.636 5.588" Properties=species:S:1:pos:R:3 pbc="T T T"
Cd 2.636 0.000 2.794
Cd 0.000 2.636 2.794
As 0.000 0.000 0.000
Pt 2.636 2.636 3.179
Pt 0.000 0.000 2.409
Ac 2.636 2.636 0.000
```


Repeat the third record exactly.
This record from Alexandria via LeMat-Bulk describes crystalline AcCdAsO5 at its relaxed geometry. The functional is PBE.

Results
Raw formation energy: -1.923 eV per atom

```
16
Lattice="6.424 0.754 -0.141 -1.154 6.364 -0.141 -2.352 -3.176 7.751" Properties=species:S:1:pos:R:3 pbc="T T T"
As 3.127 1.965 1.796
As -0.209 1.976 5.672
O 3.447 0.781 2.984
O 2.865 3.544 2.508
O 1.378 2.187 6.384
O -1.435 1.936 6.860
O 3.824 -1.009 5.672
O 4.353 2.006 0.608
O 0.053 0.397 4.960
O -0.528 3.161 4.484
O -0.905 4.951 1.796
O 1.540 1.755 1.085
Ac -1.176 -1.588 3.876
Ac 0.000 0.000 0.000
Cd 0.734 3.737 1.796
Cd 2.184 0.205 5.672
```